Record 1
First-principles (PBE-GGA) data for a relaxed Zn2CdAs crystal, as listed in Alexandria via LeMat-Bulk.

Summary:
space group	No. 123
M_tot	0.00	μB per cell
polymorph energy (0 for the lowest one)	115	meV per atom

a b c (Å): 2.967 2.967 8.464
angles (deg): 90.00 90.00 90.00
Sites, in units of the cell vectors:
Zn: 0.000 0.000 0.243
Zn: 0.000 0.000 0.757
Cd: 0.500 0.500 0.500
As: 0.500 0.500 0.000

***

Record 2
First-principles (PBE-GGA) data for a relaxed NaSbN3 crystal, as listed in Alexandria via LeMat-Bulk.

Summary:
energy relative to the elements, uncorrected	6.07	eV per formula unit
space group	No. 221
M_tot	3.01	μB per cell

a b c (Å): 4.113 4.113 4.113
angles (deg): 90.00 90.00 90.00
Sites, in units of the cell vectors:
Na: 0.000 0.000 0.000
Sb: 0.500 0.500 0.500
N: 0.000 0.500 0.500
N: 0.500 0.000 0.500
N: 0.500 0.500 0.000

***

Record 3
First-principles (PBE-GGA) data for a relaxed Ca2In3Sn2 crystal, as listed in Alexandria via LeMat-Bulk.

Summary:
space group	No. 65
energy	-22.308	eV/f.u.
M_tot	0.00	μB per cell

a b c (Å): 11.192 11.192 4.351
angles (deg): 90.00 90.00 157.79
Sites, in units of the cell vectors:
Ca: 0.159 0.841 0.000
Ca: 0.841 0.159 0.000
In: 0.000 0.000 0.000
In: 0.431 0.569 0.500
In: 0.569 0.431 0.500
Sn: 0.293 0.707 0.500
Sn: 0.707 0.293 0.500

***

Record 4
First-principles (PBE-GGA) data for a relaxed LiNdPuTe3 crystal, as listed in Alexandria via LeMat-Bulk.

Summary:
energy relative to the elements, uncorrected	-7.07	eV per formula unit
space group	No. 11
M_tot	11.65	μB per cell

a b c (Å): 9.036 4.326 9.658
angles (deg): 90.00 103.21 90.00
Sites, in units of the cell vectors:
Li: 0.086 0.250 0.084
Li: 0.914 0.750 0.916
Nd: 0.185 0.250 0.733
Nd: 0.815 0.750 0.267
Pu: 0.330 0.750 0.338
Pu: 0.670 0.250 0.662
Te: 0.088 0.250 0.372
Te: 0.230 0.750 0.996
Te: 0.425 0.750 0.673
Te: 0.575 0.250 0.327
Te: 0.770 0.250 0.004
Te: 0.912 0.750 0.628

***

Record 5
First-principles (PBE-GGA) data for a relaxed Tl2SbF6 crystal, as listed in Alexandria via LeMat-Bulk.

Summary:
energy relative to the elements, uncorrected	-18.56	eV per formula unit
space group	No. 225
M_tot	1.06	μB per cell
polymorph energy (0 for the lowest one)	27	meV per atom

a b c (Å): 6.370 6.370 6.370
angles (deg): 60.00 60.00 60.00
Sites, in units of the cell vectors:
Tl: 0.250 0.250 0.250
Tl: 0.750 0.750 0.750
Sb: 0.000 0.000 0.000
F: 0.228 0.228 0.772
F: 0.228 0.772 0.228
F: 0.228 0.772 0.772
F: 0.772 0.228 0.228
F: 0.772 0.228 0.772
F: 0.772 0.772 0.228

***

Record 6
First-principles (PBE-GGA) data for a relaxed TbNd2MnS5 crystal, as listed in Alexandria via LeMat-Bulk.

Summary:
energy relative to the elements, uncorrected	-15.49	eV per formula unit
space group	No. 36
M_tot	8.69	μB per cell

a b c (Å): 8.542 8.542 12.003
angles (deg): 90.00 90.00 153.38
Sites, in units of the cell vectors:
Tb: 0.184 0.816 0.500
Tb: 0.816 0.184 0.000
Nd: 0.118 0.882 0.166
Nd: 0.122 0.878 0.818
Nd: 0.878 0.122 0.318
Nd: 0.882 0.118 0.666
Mn: 0.450 0.550 0.902
Mn: 0.550 0.450 0.402
S: 0.016 0.984 0.496
S: 0.301 0.699 0.161
S: 0.313 0.687 0.835
S: 0.347 0.653 0.492
S: 0.493 0.507 0.228
S: 0.507 0.493 0.728
S: 0.653 0.347 0.992
S: 0.687 0.313 0.335
S: 0.699 0.301 0.661
S: 0.984 0.016 0.996

***

Record 7
First-principles (PBE-GGA) data for a relaxed Ta3CdF crystal, as listed in Alexandria via LeMat-Bulk.

Summary:
energy relative to the elements, uncorrected	1.53	eV per formula unit
space group	No. 221
M_tot	0.00	μB per cell
polymorph energy (0 for the lowest one)	0	meV per atom

a b c (Å): 4.377 4.377 4.377
angles (deg): 90.00 90.00 90.00
Sites, in units of the cell vectors:
Ta: 0.000 0.000 0.500
Ta: 0.000 0.500 0.000
Ta: 0.500 0.000 0.000
Cd: 0.500 0.500 0.500
F: 0.000 0.000 0.000

***

Record 8
First-principles (PBE-GGA) data for a relaxed CaYCdPt crystal, as listed in Alexandria via LeMat-Bulk.

Summary:
space group	No. 216
energy	-18.063	eV/f.u.
M_tot	0.00	μB per cell

a b c (Å): 5.104 5.104 5.104
angles (deg): 60.00 60.00 60.00
Sites, in units of the cell vectors:
Ca: 0.000 0.000 0.000
Y: 0.500 0.500 0.500
Cd: 0.250 0.250 0.250
Pt: 0.750 0.750 0.750

***

Record 9
First-principles (PBE-GGA) data for a relaxed KZnCd2Ag crystal, as listed in Alexandria via LeMat-Bulk.

Summary:
space group	No. 123
M_tot	0.00	μB per cell
polymorph energy (0 for the lowest one)	0	meV per atom

a b c (Å): 5.418 5.418 5.081
angles (deg): 90.00 90.00 90.00
Sites, in units of the cell vectors:
K: 0.000 0.000 0.000
Zn: 0.500 0.500 0.000
Cd: 0.000 0.500 0.500
Cd: 0.500 0.000 0.500
Ag: 0.500 0.500 0.500

***

Record 10
First-principles (PBE-GGA) data for a relaxed ScFe2Ag crystal, as listed in Alexandria via LeMat-Bulk.

Summary:
space group	No. 123
energy	-25.575	eV/f.u.
M_tot	3.74	μB per cell

a b c (Å): 3.904 3.904 3.982
angles (deg): 90.00 90.00 90.00
Sites, in units of the cell vectors:
Sc: 0.000 0.000 0.000
Fe: 0.000 0.500 0.500
Fe: 0.500 0.000 0.500
Ag: 0.500 0.500 0.000

***

Record 11
First-principles (PBE-GGA) data for a relaxed KPmS2O8 crystal, as listed in Alexandria via LeMat-Bulk.

Summary:
energy relative to the elements, uncorrected	-24.76	eV per formula unit
space group	No. 147
M_tot	0.00	μB per cell

a b c (Å): 5.445 5.445 8.174
angles (deg): 90.00 90.00 120.00
Sites, in units of the cell vectors:
K: 0.000 0.000 0.000
Pm: 0.000 0.000 0.500
S: 0.333 0.667 0.746
S: 0.667 0.333 0.254
O: 0.133 0.377 0.680
O: 0.243 0.867 0.680
O: 0.333 0.667 0.923
O: 0.377 0.243 0.320
O: 0.623 0.757 0.680
O: 0.667 0.333 0.077
O: 0.757 0.133 0.320
O: 0.867 0.623 0.320

***

Record 12
First-principles (PBE-GGA) data for a relaxed PmScP2 crystal, as listed in Alexandria via LeMat-Bulk.

Summary:
space group	No. 123
M_tot	0.01	μB per cell
polymorph energy (0 for the lowest one)	564	meV per atom

a b c (Å): 5.025 5.025 3.172
angles (deg): 90.00 90.00 90.00
Sites, in units of the cell vectors:
Pm: 0.000 0.000 0.000
Sc: 0.500 0.500 0.000
P: 0.000 0.500 0.500
P: 0.500 0.000 0.500